An optimized crystal structure of AcZn2SbPd5. Source: the Alexandria database, functional GGA-PBE.

extended XYZ file:
```
9
Lattice="4.8116 0.0000 0.0000 0.0000 4.8116 0.0000 0.0000 0.0000 7.5263" Properties=species:S:1:pos:R:3 pbc="T T T"
Ac 0.0000 0.0000 0.0000
Zn 2.4058 2.4058 2.5424
Zn 2.4058 2.4058 4.9839
Sb 0.0000 0.0000 3.7632
Pd 0.0000 2.4058 2.0900
Pd 0.0000 2.4058 5.4363
Pd 2.4058 0.0000 2.0900
Pd 2.4058 0.0000 5.4363
Pd 2.4058 2.4058 0.0000
```

Output
DOS(E_F) = 3.202 states/eV/f.u.
Space group = No. 123
E = -4.500 eV/atom